(one)
MgCoF2: optimized geometry, GGA+U.

Output
crystal system	trigonal
density of states at the Fermi level	0.529	states/eV per atom

a = 8.1605 Å, b = 8.1605 Å, c = 8.1605 Å
α = 20.96°, β = 20.96°, γ = 20.96°
Last column: nearest neighbours and their distance in Å.
Fractional positions:
Mg1 0.5000 0.5000 0.5000  6 F 1.98
Co1 0.0000 0.0000 0.0000  6 Co 2.97, 2 F 3.00
F1 0.8747 0.8747 0.8747  3 Mg 1.98
F2 0.1253 0.1253 0.1253  3 Mg 1.98

(two)
MgCoF2: optimized geometry, GGA+U.

Output
crystal system	tetragonal
density of states at the Fermi level	0.345	states/eV per atom

a = 5.4111 Å, b = 5.4111 Å, c = 6.0232 Å
α = 63.31°, β = 63.31°, γ = 90.00°
Last column: nearest neighbours and their distance in Å.
Fractional positions:
Mg1 0.5000 0.5000 0.0000  4 F 1.90
Mg2 0.2500 0.7500 0.5000  4 F 1.90
Co1 0.0000 0.0000 0.0000  4 F 2.72
Co2 0.7500 0.2500 0.5000  4 F 2.72
F1 0.4954 0.1250 0.2500  2 Mg 1.90
F2 0.2546 0.6250 0.2500  2 Mg 1.90
F3 0.3750 0.5046 0.7500  2 Mg 1.90
F4 0.8750 0.7454 0.7500  2 Mg 1.90

(three)
MgCoF2: optimized geometry, GGA+U.

Output
crystal system	cubic
density of states at the Fermi level	1.056	states/eV per atom

a = 4.1253 Å, b = 4.1253 Å, c = 4.1253 Å
α = 60.00°, β = 60.00°, γ = 60.00°
Last column: nearest neighbours and their distance in Å.
Fractional positions:
Mg1 0.0000 0.0000 0.0000  8 F 2.53
Co1 0.5000 0.5000 0.5000  8 F 2.53
F1 0.2500 0.2500 0.2500  4 Co 2.53, 4 Mg 2.53
F2 0.7500 0.7500 0.7500  4 Co 2.53, 4 Mg 2.53

Energies in eV/atom, measured from the most stable structure: (one) 0.000; (two) 0.339; (three) 0.877.

(one)
Mg3CoF: optimized geometry, GGA+U.

Output
crystal system	cubic
density of states at the Fermi level	0.470	states/eV per atom

a = 4.7495 Å, b = 4.7495 Å, c = 4.7495 Å
α = 90.00°, β = 90.00°, γ = 90.00°
Last column: nearest neighbours and their distance in Å.
Fractional positions:
Mg1 0.0000 0.5000 0.0000  2 Co 2.37
Mg2 0.0000 0.0000 0.5000  2 Co 2.37
Mg3 0.5000 0.0000 0.0000  2 Co 2.37
Co1 0.0000 0.0000 0.0000  6 Mg 2.37
F1 0.5000 0.5000 0.5000  12 Mg 3.36

(two)
Mg3CoF: optimized geometry, GGA+U.

Output
crystal system	cubic
density of states at the Fermi level	0.176	states/eV per atom

a = 4.3513 Å, b = 4.3513 Å, c = 4.3513 Å
α = 90.00°, β = 90.00°, γ = 90.00°
Last column: nearest neighbours and their distance in Å.
Fractional positions:
Mg1 0.0000 0.5000 0.0000  2 F 2.18
Mg2 0.0000 0.0000 0.5000  2 F 2.18
Mg3 0.5000 0.0000 0.0000  2 F 2.18
Co1 0.5000 0.5000 0.5000  12 Mg 3.08
F1 0.0000 0.0000 0.0000  6 Mg 2.18

Energies in eV/atom, measured from the most stable structure: (one) 0.750; (two) 0.000.

(one)
MgCoOF2: optimized geometry, GGA+U.

Output
crystal system	tetragonal
density of states at the Fermi level	1.921	states/eV per atom

a = 3.7018 Å, b = 3.7018 Å, c = 4.2434 Å
α = 90.00°, β = 90.00°, γ = 90.00°
Last column: nearest neighbours and their distance in Å.
Fractional positions:
Mg1 0.0000 0.0000 0.0000  4 F 1.85
Co1 0.5000 0.5000 0.5000  4 O 2.62, 8 F 2.82
O1 0.0000 0.0000 0.5000  2 Mg 2.12
F1 0.0000 0.5000 0.0000  2 Mg 1.85
F2 0.5000 0.0000 0.0000  2 Mg 1.85

(two)
MgCoOF2: optimized geometry, GGA+U.

Output
crystal system	tetragonal
density of states at the Fermi level	0.327	states/eV per atom

a = 4.0084 Å, b = 4.0084 Å, c = 3.7979 Å
α = 90.00°, β = 90.00°, γ = 90.00°
Last column: nearest neighbours and their distance in Å.
Fractional positions:
Mg1 0.5000 0.5000 0.5000  8 F 2.76, 4 O 2.83
Co1 0.0000 0.0000 0.0000  2 O 1.90, 4 F 2.00
O1 0.0000 0.0000 0.5000  2 Co 1.90
F1 0.0000 0.5000 0.0000  2 Co 2.00
F2 0.5000 0.0000 0.0000  2 Co 2.00

Energies in eV/atom, measured from the most stable structure: (one) 0.000; (two) 0.038.